[1]
DFT (PBE) results for a relaxed structure of Dy11Zn9Au4.

a b c (Å): 14.178 21.172 3.641
angles (deg): 90.00 90.00 90.00
Space group Cmmm (No. 65)
Symmetry-distinct sites (fractional):
Dy  0.000  0.000  0.000 (multiplicity 2)
Dy  0.000  0.170  0.000 (multiplicity 4)
Dy  0.000  0.351  0.000 (multiplicity 4)
Dy  0.240  0.500  0.000 (multiplicity 4)
Dy  0.242  0.171  0.000 (multiplicity 8)
Zn  0.000  0.500  0.500 (multiplicity 2)
Zn  0.113  0.258  0.500 (multiplicity 8)
Zn  0.124  0.081  0.500 (multiplicity 8)
Au  0.145  0.408  0.500 (multiplicity 8)

Computed properties:
**Spin magnetization**: 0.00 μB per formula unit
**DFT formation energy**: -491 meV per atom
**Raw total energy**: -3.624 eV per atom
**DOS at the Fermi energy**: 0.732 states/eV per atom
**ρ**: 9.62 Mg/m³

---

[2]
DFT (PBE) results for a relaxed structure of Cs3K7Rb4.

a b c (Å): 22.812 7.560 18.096
angles (deg): 90.00 128.07 90.00
Space group C2/m (No. 12)
Symmetry-distinct sites (fractional):
Cs  0.000  0.000  0.000 (multiplicity 2)
Cs  0.212  0.500  0.747 (multiplicity 4)
K  0.000  0.000  0.500 (multiplicity 2)
K  0.050  0.500  0.408 (multiplicity 4)
K  0.162  0.500  0.989 (multiplicity 4)
K  0.181  0.000  0.441 (multiplicity 4)
Rb  0.078  0.000  0.802 (multiplicity 4)
Rb  0.121  0.500  0.223 (multiplicity 4)

Computed properties:
**Spin magnetization**: 0.00 μB per formula unit
**DFT formation energy**: 16 meV per atom
**Raw total energy**: -0.992 eV per atom
**DOS at the Fermi energy**: 0.854 states/eV per atom
**ρ**: 1.37 Mg/m³

---

[3]
DFT (PBE) results for a relaxed structure of RbLaSb.

a b c (Å): 5.2756 5.2756 40.5433
angles (deg): 90.00 90.00 120.00
Space group R-3m (No. 166, hexagonal axes)
Symmetry-distinct sites (fractional):
Rb  0.0000  0.0000  0.1118 (multiplicity 6)
La  0.0000  0.0000  0.3029 (multiplicity 6)
Sb  0.0000  0.0000  0.3866 (multiplicity 6)

Computed properties:
**Spin magnetization**: 0.41 μB per formula unit
**Formation energy (no corrections)**: -0.60 eV/atom
**Raw total energy**: -3.935 eV per atom
**DOS at the Fermi energy**: 0.866 states/eV per atom
**ρ**: 3.53 Mg/m³